[1]
# GdMgTlHg, optimized geometry, DFT PBE
data_GdMgTlHg
_symmetry_space_group_name_H-M 'F -4 3 m'
_symmetry_Int_Tables_number 216
_symmetry_space_group_name_Hall 'F -4 2 3'
_cell_length_a 7.351
_cell_length_b 7.351
_cell_length_c 7.351
_cell_angle_alpha 90.00
_cell_angle_beta 90.00
_cell_angle_gamma 90.00
loop_
_atom_site_label
_atom_site_fract_x
_atom_site_fract_y
_atom_site_fract_z
_atom_site_occupancy
Gd1 0.000 0.000 0.000 1
Mg1 0.000 0.000 0.500 1
Tl1 0.250 0.250 0.750 1
Hg1 0.250 0.250 0.250 1
# - Energy relative to the elements: -1.484 eV per formula unit
# - Uncorrected energy: -4.96 eV per atom
# - N(E_F): 0.5088 states/eV per atom



[2]
# GdYMgHg, optimized geometry, DFT PBE
data_GdYMgHg
_symmetry_space_group_name_H-M 'F -4 3 m'
_symmetry_Int_Tables_number 216
_symmetry_space_group_name_Hall 'F -4 2 3'
_cell_length_a 7.522
_cell_length_b 7.522
_cell_length_c 7.522
_cell_angle_alpha 90.00
_cell_angle_beta 90.00
_cell_angle_gamma 90.00
loop_
_atom_site_label
_atom_site_fract_x
_atom_site_fract_y
_atom_site_fract_z
_atom_site_occupancy
Gd1 0.000 0.000 0.000 1
Y1 0.000 0.000 0.500 1
Mg1 0.250 0.250 0.250 1
Hg1 0.250 0.250 0.750 1
# - Energy relative to the elements: -1.183 eV per formula unit
# - Uncorrected energy: -5.91 eV per atom
# - N(E_F): 0.9566 states/eV per atom